Material: BaMgGe2Rh
Method: DFT, PBE
State: optimized geometry

## Properties
Formation energy from the elements (kcal/mol of atoms): -10.9

Cell: 4.376 4.376 6.682 Å, 109.11 109.11 90.00°
Positions (direct):
Ba  0.000  0.000  0.000
Ge  0.372  0.372  0.743
Ge  0.628  0.628  0.257
Rh  0.750  0.250  0.500
Mg  0.250  0.750  0.500

***

Material: BaMg2GeRh
Method: DFT, PBE
State: optimized geometry

## Properties
Formation energy from the elements (kcal/mol of atoms): -9.5

Cell: 5.080 5.080 4.831 Å, 90.00 90.00 90.00°
Positions (direct):
Mg  0.500  0.000  0.000
Mg  0.000  0.500  0.000
Rh  0.000  0.000  0.000
Ba  0.500  0.500  0.500
Ge  0.000  0.000  0.500

***

Material: BaMgGeSe4
Method: DFT, PBE
State: optimized geometry

## Properties
Formation energy without anion corrections (eV/atom): -1.014

Cell: 6.547 7.471 8.677 Å, 90.00 104.85 90.00°
Positions (direct):
Se  0.479  0.750  0.560
Se  0.630  0.250  0.893
Se  0.521  0.250  0.440
Se  0.041  0.006  0.724
Se  0.041  0.494  0.724
Se  0.959  0.994  0.276
Se  0.370  0.750  0.107
Se  0.959  0.506  0.276
Ge  0.798  0.250  0.676
Ge  0.202  0.750  0.324
Mg  0.289  0.250  0.639
Mg  0.711  0.750  0.361
Ba  0.778  0.750  0.930
Ba  0.222  0.250  0.070

***

Material: Ba2Mg4SiGe3
Method: DFT, PBE
State: optimized geometry

## Properties
Formation energy without anion corrections (eV/atom): -0.404

Cell: 4.653 4.653 11.522 Å, 90.00 90.00 90.00°
Positions (direct):
Ba  0.500  0.000  0.254
Ba  0.000  0.500  0.746
Ge  0.000  0.500  0.135
Ge  0.500  0.000  0.865
Ge  0.000  0.000  0.500
Mg  0.500  0.500  0.000
Mg  0.000  0.500  0.370
Mg  0.000  0.000  0.000
Mg  0.500  0.000  0.630
Si  0.500  0.500  0.500